ScBe2Pb (PBE, relaxed); total energy = -4.04 eV/atom; M_tot = 0.00 μB per formula unit; formation energy from the elements = 330.0 meV per atom; space group = R-3m, No. 166
1.0
4.0873 -0.0141 -0.0034
2.0566 3.5323 -0.0034
2.0528 1.1755 4.7662
Sc Be Pb
1 2 1
direct
0.2500 0.2500 0.2500
0.4759 0.4759 0.5732
0.0241 0.0241 0.9268
0.7500 0.7500 0.7500

***

ScBe2Pb (PBE, relaxed); total energy = -4.18 eV/atom; M_tot = 0.00 μB per formula unit; formation energy from the elements = 190.5 meV per atom; space group = Pmmm, No. 47
1.0
4.0320 0.0000 0.0000
0.0000 3.2329 -0.0051
0.0000 0.0076 5.4168
Pb Sc Be
1 1 2
direct
0.5000 0.2500 0.2500
0.5000 0.7500 0.7500
0.0000 0.2498 0.5553
0.0000 0.2502 0.9447

***

ScBe2Pb (PBE, relaxed); total energy = -4.10 eV/atom; M_tot = 0.46 μB per formula unit; formation energy from the elements = 274.5 meV per atom; space group = P4mm, No. 99
1.0
3.1305 0.0000 0.0000
0.0000 3.1305 0.0000
0.0000 0.0000 7.0456
Be Pb Sc
2 1 1
direct
0.0000 0.0000 0.0554
0.5000 0.5000 0.1778
0.0000 0.0000 0.4609
0.5000 0.5000 0.8059

***

Sc2BePb (PBE, relaxed); total energy = -4.92 eV/atom; M_tot = 0.00 μB per formula unit; formation energy from the elements = 100.4 meV per atom; space group = Cmm2, No. 35
1.0
3.2939 0.1639 0.0000
-0.1749 3.2933 0.0000
0.0000 0.0000 7.8602
Be Sc Pb
1 2 1
direct
0.0000 0.0000 0.4911
0.0000 0.0000 0.0093
0.5000 0.5000 0.2919
0.5000 0.5000 0.7077

***

ScBePb2 (PBE, relaxed); total energy = -4.14 eV/atom; M_tot = 0.00 μB per formula unit; formation energy from the elements = 227.7 meV per atom; space group = Immm, No. 71
1.0
5.5624 -0.0290 -0.0572
2.0006 5.1902 0.0572
-3.7363 -2.6469 3.1589
Sc Pb Be
1 2 1
direct
0.2500 0.7500 0.5000
0.9990 0.9990 0.0000
0.5010 0.5010 0.0000
0.7500 0.2500 0.5000

***

ScBePb2 (PBE, relaxed); total energy = -4.13 eV/atom; M_tot = 0.00 μB per formula unit; formation energy from the elements = 240.0 meV per atom; space group = Pmmm, No. 47
1.0
-1.5280 0.2509 -3.1018
-2.0182 -3.3434 0.7238
-4.8451 3.5028 2.6703
Pb Sc Be
2 1 1
direct
0.0000 0.0000 0.5178
0.0000 0.0000 0.9822
0.5000 0.5000 0.2500
0.5000 0.5000 0.7500

***

ScBePb2 (PBE, relaxed); total energy = -4.12 eV/atom; M_tot = 0.14 μB per formula unit; formation energy from the elements = 244.7 meV per atom; space group = R-3m, No. 166
1.0
8.8468 -0.0881 -0.0521
8.1806 3.3692 -0.0521
8.1806 1.5764 2.9781
Be Sc Pb
1 1 2
direct
0.2500 0.2500 0.2500
0.7500 0.7500 0.7500
0.9877 0.9877 0.9877
0.5123 0.5123 0.5123

***

ScBePb2 (PBE, relaxed); total energy = -4.06 eV/atom; M_tot = 0.32 μB per formula unit; formation energy from the elements = 310.4 meV per atom; space group = C2/m, No. 12
1.0
5.7853 -0.0277 0.0344
-2.2048 5.3487 0.0344
0.7695 1.1435 3.0883
Be Pb Sc
1 2 1
direct
0.0000 0.5000 0.5000
0.0000 0.0000 0.0000
0.5000 0.5000 0.0000
0.5000 0.0000 0.5000

***

ScBePb (PBE, relaxed); total energy = -4.13 eV/atom; M_tot = 0.00 μB per formula unit; formation energy from the elements = 458.7 meV per atom; space group = F-43m, No. 216
1.0
-4.5758 -0.7882 -0.1944
-1.5891 -4.1114 -1.4723
-1.9817 -2.9373 3.0070
Sc Be Pb
1 1 1
direct
0.7500 0.7500 0.7500
0.0000 0.0000 0.0000
0.5000 0.5000 0.5000

***

ScBePb2 (PBE, relaxed); total energy = -4.22 eV/atom; M_tot = 0.00 μB per formula unit; formation energy from the elements = 147.7 meV per atom; space group = Pmmm, No. 47
1.0
4.6210 0.0000 0.0000
0.0000 4.6364 0.0000
0.0000 0.0000 4.1639
Sc Be Pb
1 1 2
direct
0.5000 0.0000 0.5000
0.0000 0.5000 0.5000
0.5000 0.5000 0.0000
0.0000 0.0000 0.0000

***

ScBePb2 (PBE, relaxed); total energy = -4.13 eV/atom; M_tot = 0.00 μB per formula unit; formation energy from the elements = 233.6 meV per atom; space group = R3m, No. 160
1.0
9.0235 -0.0973 -0.0576
8.3499 3.4223 -0.0576
8.3499 1.5980 3.0268
Pb Sc Be
2 1 1
direct
0.7545 0.7545 0.7545
0.9780 0.9780 0.9780
0.5182 0.5182 0.5182
0.2494 0.2494 0.2494

***

ScBe2Pb (PBE, relaxed); total energy = -4.38 eV/atom; M_tot = 0.00 μB per formula unit; formation energy from the elements = -5.8 meV per atom; space group = Cm, No. 8
1.0
-1.4852 -1.5178 3.1443
0.0564 -3.7607 0.5000
4.4425 -1.3777 3.7584
Be Pb Sc
2 1 1
direct
0.7068 0.7068 0.8804
0.0408 0.0408 0.8778
0.4748 0.4748 0.5804
0.2776 0.2776 0.1614